This record from the Alexandria database describes a relaxed structure of Co2BF2. The functional is PBE with a Hubbard U.

Geometry as POSCAR:
```
Co2BF2
1.0
3.3136 0.0000 0.0000
0.0000 3.3136 0.0000
0.0000 0.0000 10.0867
Co B F
4 2 4
direct
0.0000 0.0000 0.1170
0.0000 0.0000 0.8830
0.5000 0.5000 0.3830
0.5000 0.5000 0.6170
0.0000 0.0000 0.5000
0.5000 0.5000 0.0000
0.0000 0.5000 0.2500
0.0000 0.5000 0.7500
0.5000 0.0000 0.2500
0.5000 0.0000 0.7500
```

Results
- Offset from the most stable computed form: 0.206 eV/atom
- DOS(E_F): 2.00 states/eV/f.u.